An optimized crystal structure of Mg2CdAg2. Source: Alexandria, functional PBEsol.

Lattice parameters (Å, degrees): 3.284 7.590 7.590 90.00 90.00 90.00
Atoms (fractional coordinates):
Ag  0.000  0.365  0.865
Ag  0.000  0.865  0.635
Ag  0.000  0.635  0.135
Ag  0.000  0.135  0.365
Cd  0.000  0.500  0.500
Cd  0.000  0.000  0.000
Mg  0.500  0.338  0.162
Mg  0.500  0.162  0.662
Mg  0.500  0.662  0.838
Mg  0.500  0.838  0.338

Calculated values
- Calculated total energy: -24.19 eV per cell
- Volume: 189 Å³/cell
- Energy relative to the elements: -0.168 eV per atom
- Total moment: 0.00 μB/f.u.

An optimized crystal structure of SrTaIn2. Source: Alexandria, functional PBEsol.

Lattice parameters (Å, degrees): 4.373 4.373 5.857 111.92 111.92 90.00
Atoms (fractional coordinates):
In  0.750  0.250  0.500
In  0.000  0.000  0.000
Sr  0.500  0.500  0.000
Ta  0.250  0.750  0.500

Calculated values
- Calculated total energy: -18.68 eV per cell
- Volume: 95 Å³/cell
- Energy relative to the elements: 0.419 eV per atom
- Total moment: 0.01 μB/f.u.

Which value of volume does entry 2 give? 95 Å³/cell